Ba2Tl7: relaxed, GGA-PBE.

## Properties
**DFT total energy**: -2.49 eV/atom
**Calculated formation energy**: -0.218 eV per atom
**Total magnetization**: 0.000 μB per formula unit

Lattice parameters (Å, degrees): 6.5545 6.5545 17.2561 79.05 79.05 60.00
Element x y z (fractional)
Ba: 0.8523 0.8523 0.4431
Tl: 0.5000 0.5000 0.0000
Ba: 0.1477 0.1477 0.5569
Ba: 0.0507 0.0507 0.8479
Tl: 0.3863 0.8920 0.3354
Tl: 0.3863 0.3863 0.3354
Tl: 0.0000 0.5000 0.0000
Tl: 0.1080 0.6137 0.6646
Tl: 0.6137 0.1080 0.6646
Tl: 0.5000 0.5000 0.5000
Tl: 0.5000 0.0000 0.0000
Tl: 0.6137 0.6137 0.6646
Ba: 0.9493 0.9493 0.1521
Tl: 0.6093 0.6093 0.1722
Tl: 0.8920 0.3863 0.3354
Tl: 0.2770 0.2770 0.1690
Tl: 0.7230 0.7230 0.8310
Tl: 0.3907 0.3907 0.8278

Ba2Tl: relaxed, GGA-PBE.

## Properties
**DFT total energy**: -2.33 eV/atom
**Calculated formation energy**: -0.255 eV per atom
**Total magnetization**: 0.000 μB per formula unit

Lattice parameters (Å, degrees): 8.1146 8.1146 10.4017 56.26 56.26 32.56
Element x y z (fractional)
Ba: 0.3043 0.3043 0.3834
Ba: 0.6401 0.6401 0.2277
Tl: 0.3472 0.3472 0.9862
Ba: 0.8869 0.8869 0.6901
Tl: 0.5973 0.5973 0.6249
Ba: 0.0575 0.0575 0.9210

Ba3Tl: relaxed, GGA-PBE.

## Properties
**DFT total energy**: -2.16 eV/atom
**Calculated formation energy**: -0.124 eV per atom
**Total magnetization**: 0.000 μB per formula unit

Lattice parameters (Å, degrees): 13.0829 13.0829 13.0829 19.55 19.55 19.55
Element x y z (fractional)
Ba: 0.5000 0.5000 0.5000
Ba: 0.7329 0.7329 0.7329
Tl: 0.0000 0.0000 0.0000
Ba: 0.2671 0.2671 0.2671

BaTl: relaxed, GGA-PBE.

## Properties
**DFT total energy**: -2.44 eV/atom
**Calculated formation energy**: -0.295 eV per atom
**Total magnetization**: 0.000 μB per formula unit

Lattice parameters (Å, degrees): 10.4838 10.4838 6.1183 90.00 90.00 90.00
Element x y z (fractional)
Ba: 0.0000 0.2839 0.5000
Tl: 0.1556 0.8444 0.0000
Tl: 0.8444 0.1556 0.0000
Ba: 0.2839 0.0000 0.5000
Tl: 0.8444 0.8444 0.0000
Ba: 0.7839 0.5000 0.0000
Ba: 0.7161 0.0000 0.5000
Tl: 0.6556 0.6556 0.5000
Ba: 0.5000 0.2161 0.0000
Tl: 0.3444 0.6556 0.5000
Tl: 0.1556 0.1556 0.0000
Ba: 0.2161 0.5000 0.0000
Ba: 0.5000 0.7839 0.0000
Ba: 0.0000 0.7161 0.5000
Tl: 0.6556 0.3444 0.5000
Tl: 0.3444 0.3444 0.5000

Ba2Tl: relaxed, GGA-PBE.

## Properties
**DFT total energy**: -2.35 eV/atom
**Calculated formation energy**: -0.283 eV per atom
**Total magnetization**: 0.000 μB per formula unit

Lattice parameters (Å, degrees): 9.1795 9.1795 5.7661 90.00 90.00 120.00
Element x y z (fractional)
Ba: 0.2562 0.0000 0.0000
Ba: 0.4128 0.4128 0.5000
Tl: 0.6667 0.3333 0.0000
Tl: 0.0000 0.0000 0.5000
Ba: 0.7438 0.7438 0.0000
Ba: 0.0000 0.5872 0.5000
Ba: 0.5872 0.0000 0.5000
Ba: 0.0000 0.2562 0.0000
Tl: 0.3333 0.6667 0.0000

Ba3Tl: relaxed, GGA-PBE.

## Properties
**DFT total energy**: -2.09 eV/atom
**Calculated formation energy**: -0.055 eV per atom
**Total magnetization**: 0.071 μB per formula unit

Lattice parameters (Å, degrees): 4.4285 4.3153 11.8669 90.00 90.00 90.00
Element x y z (fractional)
Ba: 0.0000 0.5000 0.4596
Ba: 0.5000 0.0000 0.7528
Tl: 0.0000 0.0000 0.9860
Ba: 0.5000 0.5000 0.1349

BaTl2: relaxed, GGA-PBE.

## Properties
**DFT total energy**: -2.42 eV/atom
**Calculated formation energy**: -0.205 eV per atom
**Total magnetization**: 0.000 μB per formula unit

Lattice parameters (Å, degrees): 8.3587 8.3587 5.8191 90.00 90.00 120.00
Element x y z (fractional)
Tl: 0.5253 0.5253 0.5000
Tl: 0.0000 0.2236 0.0000
Ba: 0.6667 0.3333 0.0000
Tl: 0.0000 0.4747 0.5000
Tl: 0.2236 0.0000 0.0000
Tl: 0.7764 0.7764 0.0000
Ba: 0.3333 0.6667 0.0000
Tl: 0.4747 0.0000 0.5000
Ba: 0.0000 0.0000 0.5000

BaTl: relaxed, GGA-PBE.

## Properties
**DFT total energy**: -2.37 eV/atom
**Calculated formation energy**: -0.223 eV per atom
**Total magnetization**: 0.000 μB per formula unit

Lattice parameters (Å, degrees): 6.8433 17.9346 10.7474 90.00 90.00 90.00
Element x y z (fractional)
Ba: 0.2500 0.7500 0.5744
Ba: 0.7500 0.2500 0.5744
Ba: 0.7500 0.7500 0.4256
Ba: 0.0000 0.0000 0.3244
Tl: 0.5000 0.9168 0.5000
Ba: 0.0000 0.0000 0.6756
Tl: 0.7500 0.3332 0.2500
Tl: 0.0000 0.0832 0.0000
Tl: 0.2500 0.8332 0.2500
Ba: 0.5000 0.5000 0.3244
Tl: 0.2500 0.3332 0.7500
Ba: 0.2500 0.2500 0.0744
Ba: 0.0000 0.5000 0.1756
Tl: 0.2500 0.6668 0.2500
Ba: 0.5000 0.0000 0.1756
Ba: 0.5000 0.0000 0.8244
Tl: 0.0000 0.9168 0.0000
Tl: 0.5000 0.0832 0.5000
Ba: 0.2500 0.2500 0.4256
Ba: 0.7500 0.2500 0.9256
Tl: 0.0000 0.5832 0.5000
Tl: 0.7500 0.1668 0.2500
Ba: 0.7500 0.7500 0.0744
Tl: 0.7500 0.8332 0.7500
Tl: 0.5000 0.5832 0.0000
Tl: 0.5000 0.4168 0.0000
Tl: 0.2500 0.1668 0.7500
Ba: 0.2500 0.7500 0.9256
Ba: 0.0000 0.5000 0.8244
Tl: 0.7500 0.6668 0.7500
Ba: 0.5000 0.5000 0.6756
Tl: 0.0000 0.4168 0.5000

BaTl: relaxed, GGA-PBE.

## Properties
**DFT total energy**: -2.26 eV/atom
**Calculated formation energy**: -0.117 eV per atom
**Total magnetization**: 0.000 μB per formula unit

Lattice parameters (Å, degrees): 6.2796 6.2796 9.7203 90.00 90.00 120.00
Element x y z (fractional)
Tl: 0.3333 0.6667 0.0928
Ba: 0.0000 0.0000 0.7500
Tl: 0.6667 0.3333 0.9072
Tl: 0.3333 0.6667 0.4072
Ba: 0.6667 0.3333 0.2500
Ba: 0.3333 0.6667 0.7500
Ba: 0.0000 0.0000 0.2500
Tl: 0.6667 0.3333 0.5928

BaTl2: relaxed, GGA-PBE.

## Properties
**DFT total energy**: -2.55 eV/atom
**Calculated formation energy**: -0.331 eV per atom
**Total magnetization**: 0.000 μB per formula unit

Lattice parameters (Å, degrees): 6.5732 6.5732 11.1532 90.00 90.00 120.00
Element x y z (fractional)
Tl: 0.6606 0.8303 0.7500
Tl: 0.1697 0.3394 0.7500
Ba: 0.6667 0.3333 0.5694
Tl: 0.8303 0.1697 0.2500
Tl: 0.8303 0.6606 0.2500
Ba: 0.3333 0.6667 0.0694
Tl: 0.3394 0.1697 0.2500
Ba: 0.3333 0.6667 0.4306
Tl: 0.1697 0.8303 0.7500
Tl: 0.0000 0.0000 0.5000
Ba: 0.6667 0.3333 0.9306
Tl: 0.0000 0.0000 0.0000

BaTl: relaxed, GGA-PBE.

## Properties
**DFT total energy**: -2.36 eV/atom
**Calculated formation energy**: -0.216 eV per atom
**Total magnetization**: 0.000 μB per formula unit

Lattice parameters (Å, degrees): 5.5776 5.5776 11.8836 90.00 90.00 120.00
Element x y z (fractional)
Tl: 0.0000 0.0000 0.7500
Tl: 0.6667 0.3333 0.2500
Ba: 0.6667 0.3333 0.9107
Ba: 0.6667 0.3333 0.5893
Tl: 0.0000 0.0000 0.2500
Ba: 0.3333 0.6667 0.4107
Tl: 0.3333 0.6667 0.7500
Ba: 0.3333 0.6667 0.0893

BaTl: relaxed, GGA-PBE.

## Properties
**DFT total energy**: -1.86 eV/atom
**Calculated formation energy**: 0.288 eV per atom
**Total magnetization**: 0.475 μB per formula unit

Lattice parameters (Å, degrees): 5.6070 5.6070 5.6070 60.00 60.00 60.00
Element x y z (fractional)
Tl: 0.2500 0.2500 0.2500
Ba: 0.0000 0.0000 0.0000